Here is a relaxed structure of KFeNiF6 from the Alexandria database. Energies are from GGA+U.

## Properties
volume: 141 Å³/cell
VASP energy: -4.79 eV per atom
SG: C2, No. 5

Geometry as POSCAR:
```
KFeNiF6
1.0
2.672 -4.624 0.000
2.672 4.624 0.000
-0.008 0.000 5.710
K Fe Ni F
1 1 1 6
Direct
0.000 0.000 0.000
0.667 0.333 0.500
0.333 0.667 0.500
0.381 0.371 0.309
0.382 0.010 0.692
0.628 0.009 0.308
0.629 0.619 0.691
0.990 0.618 0.308
0.991 0.372 0.692
```